[1]
# La3SnO (GGA-PBE, optimized geometry)
# * E_form (uncorrected): -1.3776 eV/atom
data_La3SnO
_space_group_name_H-M_alt 'P n m a'
_space_group_IT_number 62
_cell_length_a 6.524
_cell_length_b 13.490
_cell_length_c 6.927
_cell_angle_alpha 90.00
_cell_angle_beta 90.00
_cell_angle_gamma 90.00
loop_
_space_group_symop_operation_xyz
'x,y,z'
'-x,-y,-z'
'-x+1/2,-y,z+1/2'
'x+1/2,y,-z+1/2'
'x+1/2,-y+1/2,-z+1/2'
'-x+1/2,y+1/2,z+1/2'
'-x,y+1/2,-z'
'x,-y+1/2,z'
loop_
_atom_site_label
_atom_site_type_symbol
_atom_site_fract_x
_atom_site_fract_y
_atom_site_fract_z
_atom_site_occupancy
La1 La 0.060 0.111 0.081 1
La2 La 0.078 0.250 0.581 1
Sn1 Sn 0.000 0.000 0.500 1
O1 O 0.058 0.750 0.101 1



[2]
# Rb4AcU3O12 (GGA-PBE, optimized geometry)
# * E_form (uncorrected): -2.8658 eV/atom
data_Rb4AcU3O12
_space_group_name_H-M_alt 'I m -3 m'
_space_group_IT_number 229
_space_group_name_Hall '-I 4 2 3'
_cell_length_a 8.895
_cell_length_b 8.895
_cell_length_c 8.895
_cell_angle_alpha 90.00
_cell_angle_beta 90.00
_cell_angle_gamma 90.00
loop_
_atom_site_label
_atom_site_type_symbol
_atom_site_fract_x
_atom_site_fract_y
_atom_site_fract_z
_atom_site_occupancy
Rb1 Rb 0.250 0.250 0.250 1
Ac1 Ac 0.000 0.000 0.000 1
U1 U 0.000 0.000 0.500 1
O1 O 0.000 0.000 0.276 1
O2 O 0.000 0.250 0.500 1



[3]
# Ba3Cu3I (GGA-PBE, optimized geometry)
# * E_form (uncorrected): -0.3648 eV/atom
data_Ba3Cu3I
_space_group_name_H-M_alt 'P 63/m'
_space_group_IT_number 176
_space_group_name_Hall '-P 6c'
_cell_length_a 11.4048
_cell_length_b 11.4048
_cell_length_c 4.4367
_cell_angle_alpha 90.00
_cell_angle_beta 90.00
_cell_angle_gamma 120.00
loop_
_atom_site_label
_atom_site_type_symbol
_atom_site_fract_x
_atom_site_fract_y
_atom_site_fract_z
_atom_site_occupancy
Ba1 Ba 0.1093 0.7295 0.2500 1
Cu1 Cu 0.0389 0.8969 0.7500 1
I1 I 0.3333 0.6667 0.7500 1



[4]
# Al3SiMo (GGA-PBE, optimized geometry)
# * energy above the lowest structure with this stoichiometry: 0.0 kJ/mol of formula units
# * E_form (uncorrected): 0.8566 eV/atom
data_Al3SiMo
_space_group_name_H-M_alt 'P m -3 m'
_space_group_IT_number 221
_space_group_name_Hall '-P 4 2 3'
_cell_length_a 4.817
_cell_length_b 4.817
_cell_length_c 4.817
_cell_angle_alpha 90.00
_cell_angle_beta 90.00
_cell_angle_gamma 90.00
loop_
_atom_site_label
_atom_site_type_symbol
_atom_site_fract_x
_atom_site_fract_y
_atom_site_fract_z
_atom_site_occupancy
Al1 Al 0.000 0.000 0.500 1
Si1 Si 0.500 0.500 0.500 1
Mo1 Mo 0.000 0.000 0.000 1



[5]
# LiScNiPt (GGA-PBE, optimized geometry)
# * E_form: -2.535 eV/f.u.
data_LiScNiPt
_space_group_name_H-M_alt 'F -4 3 m'
_space_group_IT_number 216
_space_group_name_Hall 'F -4 2 3'
_cell_length_a 6.210
_cell_length_b 6.210
_cell_length_c 6.210
_cell_angle_alpha 90.00
_cell_angle_beta 90.00
_cell_angle_gamma 90.00
loop_
_atom_site_label
_atom_site_type_symbol
_atom_site_fract_x
_atom_site_fract_y
_atom_site_fract_z
_atom_site_occupancy
Li1 Li 0.000 0.000 0.000 1
Sc1 Sc 0.000 0.000 0.500 1
Ni1 Ni 0.250 0.250 0.250 1
Pt1 Pt 0.250 0.250 0.750 1



[6]
# Pu2Ni2Ag (GGA-PBE, optimized geometry)
# * E_form: -0.351 eV/f.u.
data_Pu2Ni2Ag
_space_group_name_H-M_alt 'C m m m'
_space_group_IT_number 65
_space_group_name_Hall '-C 2 2'
_cell_length_a 4.029
_cell_length_b 13.492
_cell_length_c 3.657
_cell_angle_alpha 90.00
_cell_angle_beta 90.00
_cell_angle_gamma 90.00
loop_
_atom_site_label
_atom_site_type_symbol
_atom_site_fract_x
_atom_site_fract_y
_atom_site_fract_z
_atom_site_occupancy
Pu1 Pu 0.000 0.134 0.000 1
Ni1 Ni 0.000 0.302 0.500 1
Ag1 Ag 0.000 0.500 0.500 1



[7]
# AcHoS2 (GGA-PBE, optimized geometry)
# * energy above the lowest structure with this stoichiometry: 24.7 kJ/mol of formula units
# * E_form (uncorrected): -1.9175 eV/atom
data_AcHoS2
_space_group_name_H-M_alt 'R 3 m'
_space_group_IT_number 160
_space_group_name_Hall 'R 3 -2"'
_cell_length_a 3.9896
_cell_length_b 3.9896
_cell_length_c 21.6132
_cell_angle_alpha 90.00
_cell_angle_beta 90.00
_cell_angle_gamma 120.00
loop_
_atom_site_label
_atom_site_type_symbol
_atom_site_fract_x
_atom_site_fract_y
_atom_site_fract_z
_atom_site_occupancy
Ac1 Ac 0.0000 0.0000 0.0000 1
Ho1 Ho 0.0000 0.0000 0.1766 1
S1 S 0.0000 0.0000 0.5764 1
S2 S 0.0000 0.0000 0.7663 1



[8]
# CsPuFe2I8 (GGA-PBE, optimized geometry)
# * E_form (uncorrected): -0.6293 eV/atom
data_CsPuFe2I8
_space_group_name_H-M_alt 'C 1 2/m 1'
_space_group_IT_number 12
_cell_length_a 12.380
_cell_length_b 8.438
_cell_length_c 11.311
_cell_angle_alpha 90.00
_cell_angle_beta 97.11
_cell_angle_gamma 90.00
loop_
_space_group_symop_operation_xyz
'x,y,z'
'-x,-y,-z'
'-x,y,-z'
'x,-y,z'
'x+1/2,y+1/2,z'
'-x+1/2,-y+1/2,-z'
'-x+1/2,y+1/2,-z'
'x+1/2,-y+1/2,z'
loop_
_atom_site_label
_atom_site_type_symbol
_atom_site_fract_x
_atom_site_fract_y
_atom_site_fract_z
_atom_site_occupancy
Cs1 Cs 0.000 0.000 0.000 1
Pu1 Pu 0.000 0.000 0.500 1
Fe1 Fe 0.112 0.500 0.285 1
I1 I 0.022 0.254 0.708 1
I2 I 0.186 0.500 0.085 1
I3 I 0.246 0.500 0.483 1



Quick rundown of V, same order as above: 609.6 703.8 499.8 111.7 239.5 198.8 297.9 1172.4 Å³ per cell